1.
MgZnSbI2 (PBE, optimized geometry); E_tot = -9.4 eV per formula unit; E_form (uncorrected) = 136 meV per atom; offset from the most stable computed form = 9.3 meV/atom
1.0
-1.810 5.201 -1.469
-5.267 -2.044 -0.749
-1.222 1.131 5.509
I Sb Zn Mg
2 1 1 1
direct
0.000 0.500 0.000
0.500 0.000 0.000
0.000 0.000 0.500
0.500 0.500 0.500
0.000 0.000 0.000

2.
MgZnSbI2 (PBE, optimized geometry); E_tot = -9.5 eV per formula unit; E_form (uncorrected) = 126 meV per atom; offset from the most stable computed form = 0.0 meV/atom
1.0
-5.881 1.687 0.238
-1.211 -3.631 -4.202
-1.095 -4.398 4.117
I Sb Zn Mg
2 1 1 1
direct
0.000 0.000 0.500
0.500 0.000 0.000
0.000 0.000 0.000
0.500 0.500 0.500
0.000 0.500 0.000

3.
MgZnSbI2 (PBE, optimized geometry); E_tot = -9.1 eV per formula unit; E_form (uncorrected) = 204 meV per atom; offset from the most stable computed form = 77.9 meV/atom
1.0
5.573 0.000 0.000
0.000 5.573 0.000
0.000 0.000 5.420
I Sb Zn Mg
2 1 1 1
direct
0.000 0.500 0.000
0.500 0.000 0.000
0.000 0.000 0.500
0.000 0.000 0.000
0.500 0.500 0.500

4.
MgZrSb2I (PBE, optimized geometry); E_tot = -17.0 eV per formula unit; E_form (uncorrected) = 583 meV per atom; offset from the most stable computed form = 474.9 meV/atom
1.0
5.294 0.000 0.000
0.000 5.294 0.000
0.000 0.000 5.562
I Sb Mg Zr
1 2 1 1
direct
0.000 0.000 0.500
0.000 0.500 0.000
0.500 0.000 0.000
0.000 0.000 0.000
0.500 0.500 0.500

5.
MgZrSb2I (PBE, optimized geometry); E_tot = -19.4 eV per formula unit; E_form (uncorrected) = 108 meV per atom; offset from the most stable computed form = 0.0 meV/atom
1.0
-3.377 -4.268 -1.365
2.725 -0.599 -4.869
3.627 -3.663 2.480
I Sb Mg Zr
1 2 1 1
direct
0.000 0.000 0.500
0.000 0.500 0.000
0.500 0.000 0.000
0.500 0.500 0.500
0.000 0.000 0.000

6.
MgSc2I (PBE, optimized geometry); E_tot = -15.6 eV per formula unit; E_form (uncorrected) = 44 meV per atom; offset from the most stable computed form = 12.1 meV/atom
1.0
0.000 3.654 3.654
3.654 0.000 3.654
3.654 3.654 0.000
I Sc Mg
1 2 1
direct
0.500 0.500 0.500
0.250 0.250 0.250
0.750 0.750 0.750
0.000 0.000 0.000

7.
MgScI4 (PBE, optimized geometry); E_tot = -19.7 eV per formula unit; E_form (uncorrected) = -927 meV per atom; offset from the most stable computed form = 120.1 meV/atom
1.0
5.942 0.000 0.000
-2.971 9.279 -0.196
0.000 -2.996 8.736
Mg Sc I
2 2 8
direct
0.112 0.225 0.704
0.888 0.775 0.296
0.219 0.438 0.348
0.781 0.562 0.652
0.064 0.128 0.375
0.126 0.251 0.012
0.722 0.445 0.310
0.633 0.267 0.698
0.367 0.733 0.302
0.278 0.555 0.690
0.874 0.749 0.988
0.936 0.872 0.625

8.
MgSc2I (PBE, optimized geometry); E_tot = -15.7 eV per formula unit; E_form (uncorrected) = 32 meV per atom; offset from the most stable computed form = 0.0 meV/atom
1.0
-3.004 7.284 6.942
-0.956 5.184 9.082
0.593 7.761 7.049
I Sc Mg
1 2 1
direct
0.000 0.000 0.000
0.910 0.910 0.910
0.090 0.090 0.090
0.500 0.500 0.500